[1]
The following is a DFT calculation (PBEsol) of a geometry-optimized Li3MnCr3O8 structure.

abc: 5.8104 5.8104 5.8104
angles: 59.76 59.76 59.76
With the nearest neighbours (Å) after each atom.
Atoms (fractional coordinates):
Li 0.0000 0.5000 0.5000  6 O 2.13
Li 0.5000 0.0000 0.5000  6 O 2.13
Li 0.5000 0.5000 0.0000  6 O 2.13
Mn 0.5000 0.5000 0.5000  6 O 1.90
Cr 0.0000 0.0000 0.5000  6 O 1.98-1.99
Cr 0.0000 0.5000 0.0000  6 O 1.98-1.99
Cr 0.5000 0.0000 0.0000  6 O 1.98-1.99
O 0.2411 0.2411 0.2411  3 Cr 1.98, 3 Li 2.13
O 0.2507 0.7320 0.7320  1 Mn 1.90, 2 Cr 1.99, 2 Li 2.13
O 0.2680 0.2680 0.7493  1 Mn 1.90, 2 Cr 1.99, 2 Li 2.13
O 0.2680 0.7493 0.2680  1 Mn 1.90, 2 Cr 1.99, 2 Li 2.13
O 0.7320 0.2507 0.7320  1 Mn 1.90, 2 Cr 1.99, 2 Li 2.13
O 0.7320 0.7320 0.2507  1 Mn 1.90, 2 Cr 1.99, 2 Li 2.13
O 0.7493 0.2680 0.2680  1 Mn 1.90, 2 Cr 1.99, 2 Li 2.13
O 0.7589 0.7589 0.7589  3 Cr 1.98, 3 Li 2.13

Values from the calculation:
Calculated total energy = -118.1 eV per cell
Symmetry = No. 166
Formation energy (no corrections) = -29.67 eV per formula unit

---

[2]
The following is a DFT calculation (PBEsol) of a geometry-optimized KBe4Ir structure.

abc: 4.6825 4.6825 4.6825
angles: 60.00 60.00 60.00
With the nearest neighbours (Å) after each atom.
Atoms (fractional coordinates):
K 0.0000 0.0000 0.0000  12 Be 2.75, 4 Ir 2.87
Be 0.1369 0.6210 0.6210  6 Be 2.27-2.42
Be 0.6210 0.1369 0.6210  6 Be 2.27-2.42
Be 0.6210 0.6210 0.1369  6 Be 2.27-2.42
Be 0.6210 0.6210 0.6210  6 Be 2.27-2.42
Ir 0.2500 0.2500 0.2500  12 Be 2.74, 4 K 2.87

Values from the calculation:
Calculated total energy = -23.4 eV per cell
Symmetry = No. 216
Energy of formation from the pure elements = 0.593 eV/atom

---

[3]
The following is a DFT calculation (PBEsol) of a geometry-optimized ZrMnBr structure.

abc: 6.6388 6.6388 6.6388
angles: 152.65 152.65 39.06
With the nearest neighbours (Å) after each atom.
Atoms (fractional coordinates):
Zr 0.0000 0.0000 0.0000  4 Mn 2.88, 4 Br 2.89, 4 Zr 3.14
Mn 0.3538 0.3538 0.0000  4 Zr 2.88, 4 Mn 3.14
Br 0.6478 0.6478 0.0000  4 Zr 2.89, 4 Br 3.14

Values from the calculation:
Calculated total energy = -20.6 eV per cell
Symmetry = No. 107
Formation energy (no corrections) = 0.13 eV per formula unit

---

[4]
The following is a DFT calculation (PBEsol) of a geometry-optimized YAlP2 structure.

abc: 3.5481 4.2695 4.6231
angles: 90.00 90.00 90.00
With the nearest neighbours (Å) after each atom.
Atoms (fractional coordinates):
Y 0.0000 0.0000 0.0000  8 P 2.78-2.91
Al 0.0000 0.5000 0.5000  8 P 2.78-2.91
P 0.5000 0.0000 0.5000  4 Al 2.78, 4 Y 2.91
P 0.5000 0.5000 0.0000  4 Y 2.78, 4 Al 2.91

Values from the calculation:
Calculated total energy = -25.0 eV per cell
Symmetry = No. 47
Energy of formation from the pure elements = -0.625 eV/atom

---

[5]
The following is a DFT calculation (PBEsol) of a geometry-optimized CoHg4Mo structure.

abc: 5.4960 5.4960 5.4960
angles: 60.00 60.00 60.00
With the nearest neighbours (Å) after each atom.
Atoms (fractional coordinates):
Co 0.0000 0.0000 0.0000  12 Hg 3.22, 4 Mo 3.37
Hg 0.3749 0.3749 0.3749  6 Hg 2.75
Hg 0.3749 0.3749 0.8753  6 Hg 2.75
Hg 0.3749 0.8753 0.3749  6 Hg 2.75
Hg 0.8753 0.3749 0.3749  6 Hg 2.75
Mo 0.7500 0.7500 0.7500  12 Hg 3.22, 4 Co 3.37

Values from the calculation:
Calculated total energy = -15.8 eV per cell
Symmetry = No. 216
Energy of formation from the pure elements = 0.993 eV/atom

---

[6]
The following is a DFT calculation (PBEsol) of a geometry-optimized MnTlRh2 structure.

abc: 4.2127 4.2127 3.4328
angles: 90.00 90.00 90.00
With the nearest neighbours (Å) after each atom.
Atoms (fractional coordinates):
Mn 0.0000 0.0000 0.0000  8 Rh 2.72, 4 Tl 2.98
Tl 0.5000 0.5000 0.0000  8 Rh 2.72, 4 Mn 2.98
Rh 0.0000 0.5000 0.5000  4 Tl 2.72, 4 Mn 2.72, 4 Rh 2.98
Rh 0.5000 0.0000 0.5000  4 Tl 2.72, 4 Mn 2.72, 4 Rh 2.98

Values from the calculation:
Calculated total energy = -28.5 eV per cell
Symmetry = No. 123
Energy of formation from the pure elements = 0.050 eV/atom

---

[7]
The following is a DFT calculation (PBEsol) of a geometry-optimized Re2PtW structure.

abc: 9.2379 9.2379 9.2379
angles: 17.15 17.15 17.15
With the nearest neighbours (Å) after each atom.
Atoms (fractional coordinates):
Re 0.2499 0.2499 0.2499  6 Re 2.76, 3 W 2.77, 3 Pt 2.78
Re 0.7501 0.7501 0.7501  6 Re 2.76, 3 W 2.77, 3 Pt 2.78
Pt 0.0000 0.0000 0.0000  6 Pt 2.76, 6 Re 2.78
W 0.5000 0.5000 0.5000  6 W 2.76, 6 Re 2.77

Values from the calculation:
Calculated total energy = -46.9 eV per cell
Symmetry = No. 166
Energy of formation from the pure elements = 0.124 eV/atom
Energy above the lowest structure with this stoichiometry = 242 meV per atom

---

[8]
The following is a DFT calculation (PBEsol) of a geometry-optimized LaNiW2 structure.

abc: 3.8082 3.8082 5.0025
angles: 90.00 90.00 90.00
With the nearest neighbours (Å) after each atom.
Atoms (fractional coordinates):
La 0.0000 0.0000 0.0000  4 Ni 2.69
Ni 0.5000 0.5000 0.0000  4 La 2.69
W 0.0000 0.5000 0.5000  4 W 2.69
W 0.5000 0.0000 0.5000  4 W 2.69

Values from the calculation:
Calculated total energy = -36.1 eV per cell
Symmetry = No. 123
Energy of formation from the pure elements = 0.766 eV/atom
Energy above the lowest structure with this stoichiometry = 189 meV per atom

---

[9]
The following is a DFT calculation (PBEsol) of a geometry-optimized MgMnSn2Bi structure.

abc: 5.8546 5.8546 5.0038
angles: 90.00 90.00 90.00
With the nearest neighbours (Å) after each atom.
Atoms (fractional coordinates):
Mg 0.0000 0.0000 0.0000  8 Sn 3.85, 4 Mn 4.14
Mn 0.5000 0.5000 0.0000  2 Bi 2.50
Sn 0.0000 0.5000 0.5000  2 Bi 2.93
Sn 0.5000 0.0000 0.5000  2 Bi 2.93
Bi 0.5000 0.5000 0.5000  2 Mn 2.50

Values from the calculation:
Calculated total energy = -19.5 eV per cell
Symmetry = No. 123
Energy of formation from the pure elements = 0.963 eV/atom

---

[10]
The following is a DFT calculation (PBEsol) of a geometry-optimized Na5Pr4Ge4O16F structure.

abc: 9.0073 9.0073 9.0073
angles: 95.72 95.72 143.19
With the nearest neighbours (Å) after each atom.
Atoms (fractional coordinates):
Na 0.0000 0.0000 0.0000  4 O 2.50
Na 0.0802 0.5630 0.6919  5 O 2.37-2.65
Na 0.4370 0.1289 0.5172  5 O 2.37-2.65
Na 0.6117 0.9198 0.4828  5 O 2.37-2.65
Na 0.8711 0.3883 0.3081  5 O 2.37-2.65
Pr 0.2919 0.3590 0.7032  7 O 2.34-2.59, 1 F 2.61
Pr 0.4112 0.7081 0.0670  7 O 2.34-2.59, 1 F 2.61
Pr 0.6410 0.3442 0.9330  7 O 2.34-2.59, 1 F 2.61
Pr 0.6558 0.5888 0.2968  7 O 2.34-2.59, 1 F 2.61
Ge 0.1131 0.2584 0.3513  4 O 1.75-1.79
Ge 0.2382 0.8869 0.1453  4 O 1.75-1.79
Ge 0.7416 0.0929 0.8547  4 O 1.75-1.79
Ge 0.9071 0.7618 0.6487  4 O 1.75-1.79
O 0.0511 0.2699 0.8746  1 Ge 1.75
O 0.0655 0.3493 0.4993  1 Ge 1.76
O 0.1252 0.6801 0.9643  1 Ge 1.79
O 0.2412 0.0590 0.7475  1 Ge 1.76
O 0.3114 0.4937 0.2525  1 Ge 1.76
O 0.3199 0.2842 0.4452  1 Ge 1.79
O 0.3953 0.1765 0.1254  1 Ge 1.75
O 0.4338 0.9345 0.2838  1 Ge 1.76
O 0.5063 0.7588 0.8177  1 Ge 1.76
O 0.6507 0.1500 0.7162  1 Ge 1.76
O 0.7158 0.1610 0.0357  1 Ge 1.79
O 0.7301 0.6047 0.7812  1 Ge 1.75
O 0.8235 0.9489 0.2188  1 Ge 1.75
O 0.8390 0.8748 0.5548  1 Ge 1.79
O 0.8500 0.5662 0.5007  1 Ge 1.76
O 0.9410 0.6886 0.1823  1 Ge 1.76
F 0.5000 0.5000 0.0000  4 Pr 2.61, 4 O 2.67, 2 Na 2.84

Values from the calculation:
Calculated total energy = -206.1 eV per cell
Symmetry = No. 82
Formation energy (no corrections) = -72.66 eV per formula unit

---

[11]
The following is a DFT calculation (PBEsol) of a geometry-optimized ZrSc2Co structure.

abc: 5.5909 5.5909 5.5909
angles: 145.97 129.22 62.55
With the nearest neighbours (Å) after each atom.
Atoms (fractional coordinates):
Zr 0.0000 0.0000 0.0000  2 Co 2.51
Sc 0.4063 0.4063 0.0000  2 Co 2.57
Sc 0.7033 0.2033 0.5000  4 Co 2.90, 2 Sc 3.08, 2 Zr 3.09
Co 0.1991 0.6991 0.5000  2 Zr 2.51, 2 Sc 2.57

Values from the calculation:
Calculated total energy = -30.7 eV per cell
Symmetry = No. 44
Energy of formation from the pure elements = -0.171 eV/atom
Energy above the lowest structure with this stoichiometry = 0 meV per atom

---

[12]
The following is a DFT calculation (PBEsol) of a geometry-optimized Al2PW structure.

abc: 3.0843 3.0843 6.4264
angles: 90.00 90.00 90.00
With the nearest neighbours (Å) after each atom.
Atoms (fractional coordinates):
Al 0.0000 0.0000 0.0000  4 W 2.80, 1 P 2.85, 8 Al 2.89-3.08
Al 0.5000 0.5000 0.2947  4 P 2.76, 1 W 2.78, 8 Al 2.89-3.08
P 0.0000 0.0000 0.5568  4 W 2.44
W 0.5000 0.5000 0.7280  4 P 2.44

Values from the calculation:
Calculated total energy = -28.0 eV per cell
Symmetry = No. 99
Energy of formation from the pure elements = -0.062 eV/atom

---

[13]
The following is a DFT calculation (PBEsol) of a geometry-optimized Sr2MnNbPt structure.

abc: 5.7484 5.7484 4.7758
angles: 90.00 90.00 90.00
With the nearest neighbours (Å) after each atom.
Atoms (fractional coordinates):
Sr 0.0000 0.5000 0.0000  2 Nb 2.87
Sr 0.5000 0.0000 0.0000  2 Nb 2.87
Mn 0.0000 0.0000 0.5000  8 Sr 3.74, 4 Pt 4.06
Nb 0.5000 0.5000 0.0000  2 Pt 2.39
Pt 0.5000 0.5000 0.5000  2 Nb 2.39

Values from the calculation:
Calculated total energy = -25.6 eV per cell
Symmetry = No. 123
Energy of formation from the pure elements = 1.125 eV/atom

---

[14]
The following is a DFT calculation (PBEsol) of a geometry-optimized CaMg2Re structure.

abc: 2.9662 5.1520 5.2344
angles: 90.00 90.00 90.00
With the nearest neighbours (Å) after each atom.
Atoms (fractional coordinates):
Ca 0.0000 0.0000 0.0000  2 Ca 2.97, 4 Re 2.97, 4 Mg 3.01
Mg 0.0000 0.5000 0.5000  6 Mg 2.97, 4 Re 3.01
Mg 0.5000 0.0000 0.5000  6 Mg 2.97, 4 Ca 3.01
Re 0.5000 0.5000 0.0000  2 Re 2.97, 4 Ca 2.97, 4 Mg 3.01

Values from the calculation:
Calculated total energy = -16.3 eV per cell
Symmetry = No. 47
Energy of formation from the pure elements = 0.642 eV/atom
Energy above the lowest structure with this stoichiometry = 85 meV per atom

---

[15]
The following is a DFT calculation (PBEsol) of a geometry-optimized FeW3 structure.

abc: 4.4254 4.4254 4.4254
angles: 90.00 90.00 90.00
With the nearest neighbours (Å) after each atom.
Atoms (fractional coordinates):
Fe 0.0000 0.0000 0.0000  6 W 2.21
W 0.0000 0.0000 0.5000  2 Fe 2.21
W 0.0000 0.5000 0.0000  2 Fe 2.21
W 0.5000 0.0000 0.0000  2 Fe 2.21

Values from the calculation:
Calculated total energy = -40.6 eV per cell
Symmetry = No. 221
Energy of formation from the pure elements = 2.452 eV/atom

---

[16]
The following is a DFT calculation (PBEsol) of a geometry-optimized Li2InAs structure.

abc: 3.6388 3.6388 5.5226
angles: 90.00 90.00 90.00
With the nearest neighbours (Å) after each atom.
Atoms (fractional coordinates):
Li 0.0000 0.0000 0.0000  2 As 2.72-2.80, 4 In 2.93, 4 Li 2.96
Li 0.5000 0.5000 0.2635  2 In 2.67-2.85, 4 As 2.87, 4 Li 2.96
In 0.5000 0.5000 0.7470  6 Li 2.67-2.93, 4 As 2.93
As 0.0000 0.0000 0.4922  6 Li 2.72-2.87, 4 In 2.93

Values from the calculation:
Calculated total energy = -13.4 eV per cell
Symmetry = No. 99
Energy of formation from the pure elements = -0.336 eV/atom

---

[17]
The following is a DFT calculation (PBEsol) of a geometry-optimized HIrI3 structure.

abc: 4.6788 4.6788 4.6788
angles: 90.00 90.00 90.00
With the nearest neighbours (Å) after each atom.
Atoms (fractional coordinates):
H 0.0000 0.0000 0.0000  6 I 2.34
Ir 0.5000 0.5000 0.5000  12 I 3.31
I 0.0000 0.0000 0.5000  2 H 2.34
I 0.0000 0.5000 0.0000  2 H 2.34
I 0.5000 0.0000 0.0000  2 H 2.34

Values from the calculation:
Calculated total energy = -11.4 eV per cell
Symmetry = No. 221

---

[18]
The following is a DFT calculation (PBEsol) of a geometry-optimized MgCo3Ir structure.

abc: 4.4927 4.4927 4.4927
angles: 90.00 90.00 90.00
With the nearest neighbours (Å) after each atom.
Atoms (fractional coordinates):
Mg 0.0000 0.0000 0.0000  12 Co 3.18
Co 0.0000 0.5000 0.5000  2 Ir 2.25
Co 0.5000 0.0000 0.5000  2 Ir 2.25
Co 0.5000 0.5000 0.0000  2 Ir 2.25
Ir 0.5000 0.5000 0.5000  6 Co 2.25

Values from the calculation:
Calculated total energy = -28.8 eV per cell
Symmetry = No. 221
Energy of formation from the pure elements = 1.182 eV/atom

---

[19]
The following is a DFT calculation (PBEsol) of a geometry-optimized HPtOF2 structure.

abc: 3.0314 3.0314 4.8056
angles: 90.00 90.00 90.00
With the nearest neighbours (Å) after each atom.
Atoms (fractional coordinates):
H 0.0000 0.0000 0.0000  4 F 1.52
Pt 0.5000 0.5000 0.5000  4 O 2.14
O 0.0000 0.0000 0.5000  4 Pt 2.14
F 0.0000 0.5000 0.0000  2 H 1.52
F 0.5000 0.0000 0.0000  2 H 1.52

Values from the calculation:
Calculated total energy = -19.5 eV per cell
Symmetry = No. 123

---

[20]
The following is a DFT calculation (PBEsol) of a geometry-optimized AlNiP2 structure.

abc: 4.1352 4.1352 3.7189
angles: 104.76 104.76 105.88
With the nearest neighbours (Å) after each atom.
Atoms (fractional coordinates):
Al 0.0000 0.0000 0.0000  4 P 2.40, 2 Ni 2.49
Ni 0.5000 0.5000 0.0000  4 P 2.40, 2 Al 2.49
P 0.0000 0.5000 0.5000  2 Ni 2.40, 2 Al 2.40, 2 P 2.49
P 0.5000 0.0000 0.5000  2 Ni 2.40, 2 Al 2.40, 2 P 2.49

Values from the calculation:
Calculated total energy = -22.1 eV per cell
Symmetry = No. 12
Energy of formation from the pure elements = -0.059 eV/atom